No. 1
DFT (PBE) results for crystalline Mn2CrTc at its relaxed geometry.

Geometry as extended XYZ:
```
4
Lattice="-1.265 2.025 0.922 -1.538 -1.104 -1.722 -3.126 -4.556 5.713" Properties=species:S:1:pos:R:3 pbc="T T T"
Tc -2.183 -0.679 1.028
Mn -3.087 -4.499 5.641
Mn -1.602 -2.335 2.928
Cr -3.746 -2.957 3.884
```

**Formation energy from the elements**: 0.13 eV per atom
**Volume**: 12.5 A^3/atom
**SG**: Cmmm
**Energy above the lowest structure with this stoichiometry**: 0.0440 eV per atom

***

No. 2
DFT (PBE) results for crystalline K2TlClO2 at its relaxed geometry.

Geometry as extended XYZ:
```
6
Lattice="-0.986 -0.405 4.251 2.099 -3.846 0.121 5.890 3.267 1.678" Properties=species:S:1:pos:R:3 pbc="T T T"
O -0.493 -0.202 2.126
O 1.049 -1.923 0.060
K 2.049 -1.297 2.611
K 4.954 0.314 3.438
Cl 2.945 1.634 0.839
Tl 0.000 0.000 0.000
```

**Formation energy without anion corrections**: -114 kJ/mol of atoms
**Volume**: 22.2 A^3/atom
**SG**: P4/mmm

***

No. 3
DFT (PBE) results for crystalline CoPIr2 at its relaxed geometry.

Geometry as extended XYZ:
```
4
Lattice="-2.097 -0.567 1.701 2.597 -0.165 0.916 -0.303 8.068 2.315" Properties=species:S:1:pos:R:3 pbc="T T T"
P 0.174 1.651 1.887
Co 0.023 5.685 3.044
Ir -0.003 0.090 0.026
Ir -0.148 3.944 1.132
```

**Formation energy from the elements**: 0.33 eV per atom
**Volume**: 13.9 A^3/atom
**SG**: Cmmm
**Energy above the lowest structure with this stoichiometry**: 0.4681 eV per atom

***

No. 4
DFT (PBE) results for crystalline SrMg2Pb at its relaxed geometry.

Geometry as extended XYZ:
```
4
Lattice="-2.710 -9.888 -0.742 -0.602 -9.936 2.564 -4.384 -8.907 2.665" Properties=species:S:1:pos:R:3 pbc="T T T"
Sr -5.772 -21.548 3.365
Mg -3.938 -14.701 2.296
Mg -7.606 -28.394 4.435
Pb -1.924 -7.183 1.122
```

**Formation energy from the elements**: 0.08 eV per atom
**Volume**: 33.4 A^3/atom
**SG**: R-3m

***

No. 5
DFT (PBE) results for crystalline Nd5YTm4 at its relaxed geometry.

Geometry as extended XYZ:
```
10
Lattice="-1.711 2.798 -1.520 -2.918 -0.686 2.020 8.842 15.143 17.919" Properties=species:S:1:pos:R:3 pbc="T T T"
Nd 0.350 5.619 5.650
Nd 3.863 11.636 12.769
Nd 2.107 8.627 9.209
Nd 5.624 14.651 16.337
Nd -1.410 2.604 2.082
Tm 5.299 9.076 10.739
Tm 1.785 3.056 3.617
Tm 3.543 6.068 7.180
Tm 7.057 12.087 14.302
Y 0.000 0.000 0.000
```

**Formation energy from the elements**: 0.02 eV per atom
**Volume**: 32.8 A^3/atom
**SG**: P4/mmm

***

No. 6
DFT (PBE) results for crystalline LiScMo2 at its relaxed geometry.

Geometry as extended XYZ:
```
4
Lattice="-3.568 -2.570 -1.009 -4.089 1.110 1.548 -3.150 1.530 -2.844" Properties=species:S:1:pos:R:3 pbc="T T T"
Mo -8.106 0.053 -1.728
Mo -2.702 0.018 -0.576
Li 0.000 0.000 0.000
Sc -5.404 0.035 -1.152
```

**Formation energy from the elements**: 0.73 eV per atom
**Volume**: 16.2 A^3/atom
**SG**: Fm-3m
**Energy above the lowest structure with this stoichiometry**: 0.5515 eV per atom

***

No. 7
DFT (PBE) results for crystalline AcScTiN3 at its relaxed geometry.

Geometry as extended XYZ:
```
12
Lattice="3.532 0.000 0.000 0.000 7.029 0.259 0.000 -2.476 7.550" Properties=species:S:1:pos:R:3 pbc="T T T"
Sc 0.883 4.280 1.109
Sc 2.649 0.273 6.700
Ti 0.883 -0.678 4.619
Ti 2.649 5.231 3.190
N 0.883 -1.319 6.460
N 2.649 2.814 1.217
N 0.883 4.569 3.793
N 0.883 1.739 6.592
N 2.649 5.872 1.349
N 2.649 -0.016 4.016
Ac 0.883 0.923 1.641
Ac 2.649 3.630 6.168
```

**Formation energy without anion corrections**: -126 kJ/mol of atoms
**Volume**: 15.8 A^3/atom
**SG**: P2_1/m

***

No. 8
DFT (PBE) results for crystalline ScSbRu2 at its relaxed geometry.

Geometry as extended XYZ:
```
8
Lattice="7.037 0.000 0.000 0.000 7.037 0.000 3.518 3.518 3.060" Properties=species:S:1:pos:R:3 pbc="T T T"
Ru 5.277 5.181 2.295
Ru 8.796 8.892 2.295
Ru 1.662 5.277 0.765
Ru 5.374 1.759 0.765
Sc 3.518 7.037 1.530
Sc 3.518 3.518 0.000
Sb 7.037 3.518 1.530
Sb 0.000 0.000 0.000
```

**Formation energy without anion corrections**: 25 kJ/mol of atoms
**Volume**: 18.9 A^3/atom
**SG**: I-42d

***

No. 9
DFT (PBE) results for crystalline CsLiGaAs2 at its relaxed geometry.

Geometry as extended XYZ:
```
10
Lattice="3.934 0.000 0.000 1.967 6.909 0.013 1.967 1.272 10.116" Properties=species:S:1:pos:R:3 pbc="T T T"
As 3.934 6.503 9.470
As 3.934 1.678 0.660
As 3.934 2.552 7.027
As 3.934 5.629 3.102
Ga 5.901 6.271 1.708
Ga 1.967 1.910 8.421
Cs 5.901 5.791 6.371
Cs 1.967 2.390 3.759
Li 3.934 4.326 0.868
Li 3.934 3.855 9.261
```

**Formation energy from the elements**: -0.44 eV per atom
**Volume**: 27.5 A^3/atom
**SG**: C2/m

***

No. 10
DFT (PBE) results for crystalline CrFePb2 at its relaxed geometry.

Geometry as extended XYZ:
```
4
Lattice="-0.532 -2.712 2.967 3.005 1.678 2.073 -1.791 3.957 3.296" Properties=species:S:1:pos:R:3 pbc="T T T"
Fe 0.109 2.528 5.102
Pb -0.011 0.382 3.119
Pb 1.263 5.304 5.076
Cr 1.141 3.159 3.093
```

**Formation energy from the elements**: 0.54 eV per atom
**Volume**: 20.6 A^3/atom
**SG**: Amm2
**Energy above the lowest structure with this stoichiometry**: 0.0806 eV per atom

***

No. 11
DFT (PBE) results for crystalline RbTlCdI4 at its relaxed geometry.

Geometry as extended XYZ:
```
14
Lattice="-8.346 0.948 0.198 -0.902 -7.054 -4.239 2.635 -5.115 7.951" Properties=species:S:1:pos:R:3 pbc="T T T"
Rb -5.969 -6.809 0.473
Rb -0.644 -4.412 3.437
Cd -4.714 -4.641 4.684
Cd -1.899 -6.580 -0.774
I -3.973 -5.427 -2.250
I -2.640 -5.794 6.160
I -6.762 -6.565 4.167
I -4.028 -3.303 2.310
I 0.587 -1.227 1.804
I -7.201 -9.994 2.106
I 0.149 -4.656 -0.257
I -2.585 -7.918 1.599
Tl -4.535 -9.387 4.458
Tl -2.078 -1.834 -0.549
```

**Formation energy without anion corrections**: -84 kJ/mol of atoms
**Volume**: 46.4 A^3/atom
**SG**: P2_1/m

***

No. 12
DFT (PBE) results for crystalline TcW2Au at its relaxed geometry.

Geometry as extended XYZ:
```
4
Lattice="-3.619 3.296 0.064 -4.752 0.734 0.920 0.178 1.446 4.565" Properties=species:S:1:pos:R:3 pbc="T T T"
W -8.341 4.024 1.008
W -4.127 2.743 2.751
Tc -2.048 1.369 1.387
Au -6.145 4.106 4.162
```

**Formation energy from the elements**: 0.34 eV per atom
**Volume**: 16.1 A^3/atom
**SG**: C2/m
**Energy above the lowest structure with this stoichiometry**: 0.1238 eV per atom

***

No. 13
DFT (PBE) results for crystalline Sc8TlIn2 at its relaxed geometry.

Geometry as extended XYZ:
```
11
Lattice="5.171 -0.382 -0.573 -1.397 8.005 -0.697 -1.397 -3.726 7.119" Properties=species:S:1:pos:R:3 pbc="T T T"
Sc 1.188 -1.437 5.179
Sc 0.154 2.209 0.413
Sc 1.188 5.333 0.669
Sc 2.222 1.687 5.435
Sc 0.154 -0.469 2.198
Sc 2.222 4.366 3.650
Sc 2.508 1.483 2.226
Sc -0.131 2.414 3.623
In -1.397 -0.157 4.741
In -1.397 4.435 1.681
Tl 2.586 -0.191 -0.286
```

**Formation energy from the elements**: -0.11 eV per atom
**Volume**: 24.3 A^3/atom
**SG**: C2/m
**Energy above the lowest structure with this stoichiometry**: 0.0790 eV per atom

***

No. 14
DFT (PBE) results for crystalline BeCu2Si at its relaxed geometry.

Geometry as extended XYZ:
```
4
Lattice="-0.729 2.271 -3.474 -2.092 0.039 -3.658 -3.621 2.105 1.294" Properties=species:S:1:pos:R:3 pbc="T T T"
Cu -2.838 2.318 -7.100
Cu -3.203 2.200 -2.952
Be -1.610 1.104 -1.460
Si -4.831 3.311 -4.379
```

**Formation energy without anion corrections**: 4 kJ/mol of atoms
**Volume**: 11.3 A^3/atom
**SG**: C2/m

***

No. 15
DFT (PBE) results for crystalline Na4HO at its relaxed geometry.

Geometry as extended XYZ:
```
12
Lattice="-4.339 0.879 0.168 -1.059 -4.393 -4.366 1.106 -6.993 6.767" Properties=species:S:1:pos:R:3 pbc="T T T"
Na -2.640 -1.565 -1.588
Na -2.013 -10.440 2.668
Na -0.725 -4.258 3.579
Na -2.517 -1.617 1.870
Na -3.200 -5.569 4.925
Na -1.331 -7.050 2.528
Na -3.244 -4.908 0.323
Na -0.903 -4.154 -1.577
O -1.096 -6.301 4.666
O -3.120 -3.893 -1.786
H -3.781 -7.362 -0.714
H -1.039 -5.337 1.104
```

**Volume**: 22.1 A^3/atom
**SG**: Cmc2_1
**Raw total energy**: -2.821 eV per atom

***

No. 16
DFT (PBE) results for crystalline BaIr2W at its relaxed geometry.

Geometry as extended XYZ:
```
4
Lattice="3.163 0.000 0.000 0.000 3.163 0.000 0.000 0.000 8.172" Properties=species:S:1:pos:R:3 pbc="T T T"
Ir 0.000 0.000 3.512
Ir 0.000 0.000 0.573
W 1.582 1.582 2.043
Ba 1.582 1.582 6.129
```

**Formation energy from the elements**: 0.15 eV per atom
**Volume**: 20.4 A^3/atom
**SG**: P4/mmm
**Energy above the lowest structure with this stoichiometry**: 0.0772 eV per atom

***

No. 17
DFT (PBE) results for crystalline Ac2CuAsS6 at its relaxed geometry.

Geometry as extended XYZ:
```
10
Lattice="6.992 0.000 -0.651 0.000 6.614 0.000 -3.366 -3.307 5.039" Properties=species:S:1:pos:R:3 pbc="T T T"
S 0.614 3.307 2.259
S -1.582 1.622 4.465
S 5.208 4.929 -0.077
S -1.582 -1.622 4.465
S 3.012 0.000 2.129
S 5.208 1.684 -0.077
Cu 0.000 3.307 0.000
As 3.496 0.000 -0.326
Ac 0.040 0.000 2.428
Ac 3.586 3.307 1.960
```

**Formation energy without anion corrections**: -102 kJ/mol of atoms
**Volume**: 21.9 A^3/atom
**SG**: C2/m

***

No. 18
DFT (PBE) results for crystalline Tb4Tm5Zr at its relaxed geometry.

Geometry as extended XYZ:
```
10
Lattice="-0.108 1.015 3.319 -2.063 -2.689 0.756 19.928 -13.905 4.900" Properties=species:S:1:pos:R:3 pbc="T T T"
Tb 7.938 -5.539 1.952
Tb 3.885 -2.711 0.955
Tb 11.990 -8.366 2.948
Tb 16.043 -11.194 3.945
Tm 12.950 -10.630 5.489
Tm 8.879 -7.790 4.488
Tm 17.069 -13.505 6.502
Tm 0.688 -2.075 2.474
Tm 4.808 -4.949 3.486
Zr 0.000 0.000 0.000
```

**Formation energy from the elements**: 0.04 eV per atom
**Volume**: 29.9 A^3/atom
**SG**: P4/mmm
**Energy above the lowest structure with this stoichiometry**: 0.0000 eV per atom

***

No. 19
DFT (PBE) results for crystalline Li3NiH4 at its relaxed geometry.

Geometry as extended XYZ:
```
16
Lattice="-2.082 3.136 -0.934 0.047 -1.088 -3.758 -6.468 -3.974 1.069" Properties=species:S:1:pos:R:3 pbc="T T T"
H -1.104 1.412 -1.428
H -5.736 -1.866 -2.567
H -0.101 -0.650 -3.028
H -4.403 -0.440 -0.787
H -3.010 -0.190 -3.017
H -1.485 -0.914 -0.794
H -5.226 -3.213 -0.175
H -3.273 -2.695 -2.330
Li -4.956 -3.587 -2.085
Li -2.787 0.516 -1.197
Li -6.020 -1.471 -0.662
Li -1.147 0.969 -3.333
Li -3.363 -2.051 -0.484
Li -1.722 -1.600 -2.620
Ni -0.159 0.005 -0.942
Ni -4.408 -1.000 -2.901
```

**Volume**: 7.3 A^3/atom
**SG**: Pmn2_1
**Energy above the lowest structure with this stoichiometry**: 0.0000 eV per atom

***

No. 20
DFT (PBE) results for crystalline YCu2SiNi2 at its relaxed geometry.

Geometry as extended XYZ:
```
6
Lattice="-2.771 -0.609 -3.138 1.854 -3.689 -0.921 -3.361 -2.554 3.464" Properties=species:S:1:pos:R:3 pbc="T T T"
Ni -1.386 -0.305 -1.569
Ni 0.927 -1.845 -0.460
Si 0.000 0.000 0.000
Cu -1.348 -2.825 -1.113
Cu -2.930 -4.027 0.518
Y -1.680 -1.277 1.732
```

**Formation energy without anion corrections**: -9 kJ/mol of atoms
**Volume**: 16.3 A^3/atom
**SG**: P4/mmm